# NdEuDy2 PBE relaxed
# M_tot = 29.06 μB per cell
# Offset from the most stable computed form = 99 meV per atom
# Energy of formation = 0.154 eV/atom
data_NdEuDy2
_cell_length_a 8.188
_cell_length_b 8.188
_cell_length_c 8.188
_cell_angle_alpha 90.00
_cell_angle_beta 90.00
_cell_angle_gamma 90.00
_symmetry_space_group_name_H-M 'F m -3 m'
_symmetry_Int_Tables_number 225
_symmetry_space_group_name_Hall '-F 4 2 3'
loop_
_atom_site_label
_atom_site_fract_x
_atom_site_fract_y
_atom_site_fract_z
Nd1 0.000 0.000 0.000
Eu1 0.000 0.000 0.500
Dy1 0.250 0.250 0.250